Record 1
Below is a geometry-optimized VSi4Ru5 structure, with properties calculated at the PBE-GGA level.

Summary:
Space group = P4/mmm

a b c (Å): 2.933 2.933 14.954
angles (deg): 90.00 90.00 90.00
Sites, in units of the cell vectors:
V: 0.000 0.000 0.000
Si: 0.000 0.000 0.203
Si: 0.000 0.000 0.401
Si: 0.000 0.000 0.599
Si: 0.000 0.000 0.797
Ru: 0.500 0.500 0.110
Ru: 0.500 0.500 0.304
Ru: 0.500 0.500 0.500
Ru: 0.500 0.500 0.696
Ru: 0.500 0.500 0.890

---

Record 2
Below is a geometry-optimized V12Si6Ru structure, with properties calculated at the PBE-GGA level.

Summary:
Space group = R-3

a b c (Å): 7.002 7.002 7.002
angles (deg): 110.81 110.81 110.81
Sites, in units of the cell vectors:
V: 0.020 0.291 0.167
V: 0.167 0.020 0.291
V: 0.238 0.612 0.687
V: 0.291 0.167 0.020
V: 0.313 0.762 0.388
V: 0.388 0.313 0.762
V: 0.612 0.687 0.238
V: 0.687 0.238 0.612
V: 0.709 0.833 0.980
V: 0.762 0.388 0.313
V: 0.833 0.980 0.709
V: 0.980 0.709 0.833
Si: 0.070 0.852 0.559
Si: 0.148 0.441 0.930
Si: 0.441 0.930 0.148
Si: 0.559 0.070 0.852
Si: 0.852 0.559 0.070
Si: 0.930 0.148 0.441
Ru: 0.500 0.500 0.500

---

Record 3
Below is a geometry-optimized VSi5Ru6 structure, with properties calculated at the PBE-GGA level.

Summary:
Space group = Cmmm

a b c (Å): 6.619 6.619 5.900
angles (deg): 90.00 90.00 143.37
Sites, in units of the cell vectors:
V: 0.000 0.000 0.000
Si: 0.000 0.000 0.500
Si: 0.333 0.667 0.500
Si: 0.338 0.662 0.000
Si: 0.662 0.338 0.000
Si: 0.667 0.333 0.500
Ru: 0.168 0.832 0.253
Ru: 0.168 0.832 0.747
Ru: 0.500 0.500 0.256
Ru: 0.500 0.500 0.744
Ru: 0.832 0.168 0.253
Ru: 0.832 0.168 0.747

---

Record 4
Below is a geometry-optimized VSi4Ru2 structure, with properties calculated at the PBE-GGA level.

Summary:
Space group = I4/mmm

a b c (Å): 4.371 4.371 12.055
angles (deg): 90.00 90.00 90.00
Sites, in units of the cell vectors:
V: 0.000 0.000 0.000
V: 0.500 0.500 0.500
Si: 0.000 0.000 0.200
Si: 0.000 0.000 0.800
Si: 0.000 0.500 0.000
Si: 0.000 0.500 0.500
Si: 0.500 0.000 0.000
Si: 0.500 0.000 0.500
Si: 0.500 0.500 0.300
Si: 0.500 0.500 0.700
Ru: 0.000 0.000 0.391
Ru: 0.000 0.000 0.609
Ru: 0.500 0.500 0.109
Ru: 0.500 0.500 0.891

---

Record 5
Below is a geometry-optimized VSiRu2 structure, with properties calculated at the PBE-GGA level.

Summary:
Space group = P4/mmm

a b c (Å): 2.944 2.944 6.042
angles (deg): 90.00 90.00 90.00
Sites, in units of the cell vectors:
V: 0.000 0.000 0.000
Si: 0.000 0.000 0.500
Ru: 0.500 0.500 0.265
Ru: 0.500 0.500 0.735

---

Record 6
Below is a geometry-optimized VSiRuW structure, with properties calculated at the PBE-GGA level.

Summary:
Space group = F-43m

a b c (Å): 6.040 6.040 6.040
angles (deg): 90.00 90.00 90.00
Sites, in units of the cell vectors:
V: 0.000 0.000 0.000
V: 0.000 0.500 0.500
V: 0.500 0.000 0.500
V: 0.500 0.500 0.000
Si: 0.000 0.000 0.500
Si: 0.000 0.500 0.000
Si: 0.500 0.000 0.000
Si: 0.500 0.500 0.500
Ru: 0.250 0.250 0.250
Ru: 0.250 0.750 0.750
Ru: 0.750 0.250 0.750
Ru: 0.750 0.750 0.250
W: 0.250 0.250 0.750
W: 0.250 0.750 0.250
W: 0.750 0.250 0.250
W: 0.750 0.750 0.750

---

no.,spin magnetization (μB per cell),formation energy (no corrections) (eV/atom)
1,0.64,-0.59
2,0.00,-0.33
3,0.87,-0.60
4,0.00,0.34
5,0.37,-0.52
6,0.00,-0.25